1.
The following is a DFT calculation (PBE) of SrAl2Zn2 after structural relaxation.

```
data_SrAl2Zn2
_cell_length_a 8.167
_cell_length_b 8.167
_cell_length_c 3.016
_cell_angle_alpha 90.00
_cell_angle_beta 90.00
_cell_angle_gamma 90.00
_space_group_name_H-M_alt 'P 4/m b m'
_space_group_IT_number 127
_space_group_name_Hall '-P 4 2ab'
loop_
_atom_site_label
_atom_site_fract_x
_atom_site_fract_y
_atom_site_fract_z
_atom_site_occupancy
Sr1 0.000 0.000 0.000 1
Al1 0.156 0.344 0.500 1
Zn1 0.132 0.632 0.000 1
```

***

2.
# Sr8Al2Zn, relaxed, DFT PBE
# ΔE to the lowest computed polymorph (eV per formula unit): 0.00
data_Sr8Al2Zn
_cell_length_a 20.421
_cell_length_b 5.682
_cell_length_c 7.997
_cell_angle_alpha 90.00
_cell_angle_beta 108.40
_cell_angle_gamma 90.00
_space_group_name_H-M_alt 'C 1 2/m 1'
_space_group_IT_number 12
_space_group_name_Hall '-C 2y'
loop_
_atom_site_label
_atom_site_fract_x
_atom_site_fract_y
_atom_site_fract_z
_atom_site_occupancy
Sr1 0.031 0.000 0.290 1
Sr2 0.097 0.500 0.947 1
Sr3 0.167 0.500 0.460 1
Sr4 0.205 0.000 0.810 1
Al1 0.183 0.000 0.205 1
Zn1 0.000 0.500 0.500 1

***

3.
The following is a DFT calculation (PBE) of SrAl2Zn2 after structural relaxation.

```
data_SrAl2Zn2
_cell_length_a 4.231
_cell_length_b 4.231
_cell_length_c 5.821
_cell_angle_alpha 90.00
_cell_angle_beta 90.00
_cell_angle_gamma 90.00
_space_group_name_H-M_alt 'P 4/m m m'
_space_group_IT_number 123
_space_group_name_Hall '-P 4 2'
loop_
_atom_site_label
_atom_site_fract_x
_atom_site_fract_y
_atom_site_fract_z
_atom_site_occupancy
Sr1 0.000 0.000 0.000 1
Al1 0.000 0.500 0.500 1
Zn1 0.500 0.500 0.222 1
```

***

4.
The following is a DFT calculation (PBE) of Sr6AlZn2 after structural relaxation.

```
data_Sr6AlZn2
_cell_length_a 10.672
_cell_length_b 11.210
_cell_length_c 11.484
_cell_angle_alpha 90.00
_cell_angle_beta 90.00
_cell_angle_gamma 90.00
_space_group_name_H-M_alt 'I m m m'
_space_group_IT_number 71
_space_group_name_Hall '-I 2 2'
loop_
_atom_site_label
_atom_site_fract_x
_atom_site_fract_y
_atom_site_fract_z
_atom_site_occupancy
Sr1 0.000 0.185 0.249 1
Sr2 0.196 0.500 0.334 1
Sr3 0.229 0.324 0.000 1
Al1 0.000 0.000 0.000 1
Al2 0.000 0.000 0.500 1
Zn1 0.000 0.331 0.500 1
Zn2 0.000 0.500 0.113 1
```

***

5.
The following is a DFT calculation (PBE) of Sr2AlZn after structural relaxation.

```
data_Sr2AlZn
_cell_length_a 4.868
_cell_length_b 4.868
_cell_length_c 10.144
_cell_angle_alpha 90.00
_cell_angle_beta 90.00
_cell_angle_gamma 90.00
_space_group_name_H-M_alt 'I -4 m 2'
_space_group_IT_number 119
_space_group_name_Hall 'I -4 -2'
loop_
_atom_site_label
_atom_site_fract_x
_atom_site_fract_y
_atom_site_fract_z
_atom_site_occupancy
Sr1 0.000 0.000 0.000 1
Sr2 0.000 0.500 0.250 1
Al1 0.000 0.000 0.500 1
Zn1 0.000 0.500 0.750 1
```

***

6.
# Sr3Al2Zn3, relaxed, DFT PBE
# ΔE to the lowest computed polymorph (eV per formula unit): 0.00
data_Sr3Al2Zn3
_cell_length_a 4.729
_cell_length_b 11.453
_cell_length_c 15.597
_cell_angle_alpha 90.00
_cell_angle_beta 90.00
_cell_angle_gamma 90.00
_space_group_name_H-M_alt 'C m c m'
_space_group_IT_number 63
_space_group_name_Hall '-C 2c 2'
loop_
_atom_site_label
_atom_site_fract_x
_atom_site_fract_y
_atom_site_fract_z
_atom_site_occupancy
Sr1 0.000 0.095 0.104 1
Sr2 0.000 0.396 0.250 1
Al1 0.000 0.201 0.596 1
Zn1 0.000 0.303 0.750 1
Zn2 0.000 0.383 0.038 1

***

7.
The following is a DFT calculation (PBE) of Sr6AlZn5 after structural relaxation.

```
data_Sr6AlZn5
_cell_length_a 5.501
_cell_length_b 7.962
_cell_length_c 8.703
_cell_angle_alpha 90.00
_cell_angle_beta 108.47
_cell_angle_gamma 90.00
_space_group_name_H-M_alt 'P 1 2/m 1'
_space_group_IT_number 10
_space_group_name_Hall '-P 2y'
loop_
_atom_site_label
_atom_site_fract_x
_atom_site_fract_y
_atom_site_fract_z
_atom_site_occupancy
Sr1 0.000 0.246 0.000 1
Sr2 0.333 0.249 0.665 1
Al1 0.500 0.500 0.000 1
Zn1 0.158 0.500 0.320 1
Zn2 0.166 0.000 0.334 1
Zn3 0.500 0.000 0.000 1
```

***

8.
The following is a DFT calculation (PBE) of SrAl2Zn6 after structural relaxation.

```
data_SrAl2Zn6
_cell_length_a 4.239
_cell_length_b 7.026
_cell_length_c 11.825
_cell_angle_alpha 90.00
_cell_angle_beta 90.00
_cell_angle_gamma 90.00
_space_group_name_H-M_alt 'I m m m'
_space_group_IT_number 71
_space_group_name_Hall '-I 2 2'
loop_
_atom_site_label
_atom_site_fract_x
_atom_site_fract_y
_atom_site_fract_z
_atom_site_occupancy
Sr1 0.000 0.000 0.000 1
Al1 0.000 0.500 0.118 1
Zn1 0.000 0.173 0.500 1
Zn2 0.000 0.301 0.307 1
```

***

9.
The following is a DFT calculation (PBE) of Sr3Al2Zn9 after structural relaxation.

```
data_Sr3Al2Zn9
_cell_length_a 4.414
_cell_length_b 9.873
_cell_length_c 13.366
_cell_angle_alpha 90.00
_cell_angle_beta 90.00
_cell_angle_gamma 90.00
_space_group_name_H-M_alt 'I m m m'
_space_group_IT_number 71
_space_group_name_Hall '-I 2 2'
loop_
_atom_site_label
_atom_site_fract_x
_atom_site_fract_y
_atom_site_fract_z
_atom_site_occupancy
Sr1 0.000 0.000 0.000 1
Sr2 0.000 0.000 0.299 1
Al1 0.000 0.199 0.500 1
Zn1 0.000 0.285 0.126 1
Zn2 0.000 0.354 0.335 1
Zn3 0.000 0.500 0.000 1
```

***

10.
The following is a DFT calculation (PBE) of Sr2AlZn after structural relaxation.

```
data_Sr2AlZn
_cell_length_a 4.0879
_cell_length_b 4.0879
_cell_length_c 28.7226
_cell_angle_alpha 90.00
_cell_angle_beta 90.00
_cell_angle_gamma 120.00
_space_group_name_H-M_alt 'R -3 m'
_space_group_IT_number 166
_space_group_name_Hall '-R 3 2"'
loop_
_atom_site_label
_atom_site_fract_x
_atom_site_fract_y
_atom_site_fract_z
_atom_site_occupancy
Sr1 0.0000 0.0000 0.2473 1
Al1 0.0000 0.0000 0.0000 1
Zn1 0.0000 0.0000 0.5000 1
```

***

11.
The following is a DFT calculation (PBE) of SrZr2AlZn after structural relaxation.

```
data_SrZr2AlZn
_cell_length_a 5.231
_cell_length_b 5.231
_cell_length_c 5.149
_cell_angle_alpha 90.00
_cell_angle_beta 90.00
_cell_angle_gamma 90.00
_space_group_name_H-M_alt 'P 4/m m m'
_space_group_IT_number 123
_space_group_name_Hall '-P 4 2'
loop_
_atom_site_label
_atom_site_fract_x
_atom_site_fract_y
_atom_site_fract_z
_atom_site_occupancy
Sr1 0.000 0.000 0.000 1
Zr1 0.000 0.500 0.000 1
Al1 0.500 0.500 0.500 1
Zn1 0.000 0.000 0.500 1
```

***

12.
The following is a DFT calculation (PBE) of Sr2ZrAl after structural relaxation.

```
data_Sr2ZrAl
_cell_length_a 3.816
_cell_length_b 3.816
_cell_length_c 9.285
_cell_angle_alpha 90.00
_cell_angle_beta 90.00
_cell_angle_gamma 90.00
_space_group_name_H-M_alt 'P 4 m m'
_space_group_IT_number 99
_space_group_name_Hall 'P 4 -2'
loop_
_atom_site_label
_atom_site_fract_x
_atom_site_fract_y
_atom_site_fract_z
_atom_site_occupancy
Sr1 0.000 0.000 0.000 1
Sr2 0.500 0.500 0.375 1
Zr1 0.000 0.000 0.638 1
Al1 0.500 0.500 0.749 1
```

***

13.
# SrZrAl3, relaxed, DFT PBE
# ΔE to the lowest computed polymorph (eV per formula unit): 0.00
data_SrZrAl3
_cell_length_a 5.278
_cell_length_b 5.278
_cell_length_c 5.278
_cell_angle_alpha 90.00
_cell_angle_beta 90.00
_cell_angle_gamma 90.00
_space_group_name_H-M_alt 'P m -3 m'
_space_group_IT_number 221
_space_group_name_Hall '-P 4 2 3'
loop_
_atom_site_label
_atom_site_fract_x
_atom_site_fract_y
_atom_site_fract_z
_atom_site_occupancy
Sr1 0.000 0.000 0.000 1
Zr1 0.500 0.500 0.500 1
Al1 0.000 0.500 0.500 1

***

14.
The following is a DFT calculation (PBE) of SrZr2Al after structural relaxation.

```
data_SrZr2Al
_cell_length_a 3.273
_cell_length_b 5.061
_cell_length_c 6.380
_cell_angle_alpha 90.00
_cell_angle_beta 100.53
_cell_angle_gamma 90.00
_space_group_name_H-M_alt 'P 1 2/m 1'
_space_group_IT_number 10
_space_group_name_Hall '-P 2y'
loop_
_atom_site_label
_atom_site_fract_x
_atom_site_fract_y
_atom_site_fract_z
_atom_site_occupancy
Sr1 0.000 0.000 0.000 1
Zr1 0.309 0.500 0.696 1
Al1 0.500 0.000 0.500 1
```

***

15.
The following is a DFT calculation (PBE) of Sr2ZrAl after structural relaxation.

```
data_Sr2ZrAl
_cell_length_a 6.732
_cell_length_b 10.516
_cell_length_c 3.488
_cell_angle_alpha 90.00
_cell_angle_beta 90.00
_cell_angle_gamma 90.00
_space_group_name_H-M_alt 'C m m m'
_space_group_IT_number 65
_space_group_name_Hall '-C 2 2'
loop_
_atom_site_label
_atom_site_fract_x
_atom_site_fract_y
_atom_site_fract_z
_atom_site_occupancy
Sr1 0.250 0.250 0.000 1
Zr1 0.000 0.000 0.500 1
Al1 0.000 0.500 0.500 1
```

***

16.
The following is a DFT calculation (PBE) of SrZr2Al after structural relaxation.

```
data_SrZr2Al
_cell_length_a 3.332
_cell_length_b 5.439
_cell_length_c 5.537
_cell_angle_alpha 90.00
_cell_angle_beta 90.00
_cell_angle_gamma 90.00
_space_group_name_H-M_alt 'P m m m'
_space_group_IT_number 47
_space_group_name_Hall '-P 2 2'
loop_
_atom_site_label
_atom_site_fract_x
_atom_site_fract_y
_atom_site_fract_z
_atom_site_occupancy
Sr1 0.000 0.000 0.000 1
Zr1 0.000 0.500 0.500 1
Zr2 0.500 0.000 0.500 1
Al1 0.500 0.500 0.000 1
```

***

17.
The following is a DFT calculation (PBE) of Sr2ZrAl after structural relaxation.

```
data_Sr2ZrAl
_cell_length_a 3.526
_cell_length_b 5.188
_cell_length_c 6.694
_cell_angle_alpha 90.00
_cell_angle_beta 90.07
_cell_angle_gamma 90.00
_space_group_name_H-M_alt 'P 1 2/m 1'
_space_group_IT_number 10
_space_group_name_Hall '-P 2y'
loop_
_atom_site_label
_atom_site_fract_x
_atom_site_fract_y
_atom_site_fract_z
_atom_site_occupancy
Sr1 0.001 0.000 0.257 1
Zr1 0.500 0.500 0.000 1
Al1 0.500 0.500 0.500 1
```

***

18.
The following is a DFT calculation (PBE) of SrZr2Al after structural relaxation.

```
data_SrZr2Al
_cell_length_a 3.2849
_cell_length_b 3.2849
_cell_length_c 32.4813
_cell_angle_alpha 90.00
_cell_angle_beta 90.00
_cell_angle_gamma 120.00
_space_group_name_H-M_alt 'R -3 m'
_space_group_IT_number 166
_space_group_name_Hall '-R 3 2"'
loop_
_atom_site_label
_atom_site_fract_x
_atom_site_fract_y
_atom_site_fract_z
_atom_site_occupancy
Sr1 0.0000 0.0000 0.0000 1
Zr1 0.0000 0.0000 0.2381 1
Al1 0.0000 0.0000 0.5000 1
```

***

19.
The following is a DFT calculation (PBE) of Sr2ZrAl after structural relaxation.

```
data_Sr2ZrAl
_cell_length_a 4.749
_cell_length_b 4.749
_cell_length_c 10.551
_cell_angle_alpha 90.00
_cell_angle_beta 90.00
_cell_angle_gamma 90.00
_space_group_name_H-M_alt 'I 4/m m m'
_space_group_IT_number 139
_space_group_name_Hall '-I 4 2'
loop_
_atom_site_label
_atom_site_fract_x
_atom_site_fract_y
_atom_site_fract_z
_atom_site_occupancy
Sr1 0.000 0.500 0.250 1
Zr1 0.000 0.000 0.000 1
Al1 0.000 0.000 0.500 1
```

***

20.
The following is a DFT calculation (PBE) of SrZr2Al after structural relaxation.

```
data_SrZr2Al
_cell_length_a 5.051
_cell_length_b 5.051
_cell_length_c 20.991
_cell_angle_alpha 90.00
_cell_angle_beta 90.00
_cell_angle_gamma 90.00
_space_group_name_H-M_alt 'I -4 2 d'
_space_group_IT_number 122
_space_group_name_Hall 'I -4 2bw'
loop_
_atom_site_label
_atom_site_fract_x
_atom_site_fract_y
_atom_site_fract_z
_atom_site_occupancy
Sr1 0.000 0.000 0.000 1
Zr1 0.037 0.250 0.625 1
Al1 0.000 0.000 0.500 1
```

***

The records above give, respectively, Fermi-level density of states values of 0.445 0.802 0.333 1.139 0.756 0.612 0.660 0.308 0.305 1.006 1.542 1.232 1.171 0.838 1.205 1.231 0.793 1.427 0.982 0.995 states/eV/atom.
The records above give, respectively, ΔE_f values of 0.1 -7.4 -24.4 -10.0 5.1 -22.0 -16.3 -5.2 -20.0 8.7 168.1 9.7 27.5 20.5 39.4 31.4 34.3 28.2 34.8 65.4 kJ per mole of atoms.
The records above give, respectively, magnetization values of 0.00 0.00 0.00 0.00 0.00 0.00 0.00 0.00 0.00 0.00 0.00 1.24 0.79 0.00 1.77 0.68 0.00 0.00 1.79 0.00 μB per cell.